# 1
A relaxed GaPtRh2Pb crystal, computed with PBE.

Cell: 4.9713 4.9713 4.6515 Å, 90.00 90.00 90.00°
Closest atoms and distances in Å follow each position.
Positions (direct):
Ga (0.0000, 0.0000, 0.0000)  2 Pt 2.33
Pt (0.0000, 0.0000, 0.5000)  2 Ga 2.33, 4 Rh 2.49
Rh (0.0000, 0.5000, 0.5000)  2 Pt 2.49
Rh (0.5000, 0.0000, 0.5000)  2 Pt 2.49
Pb (0.5000, 0.5000, 0.0000)  8 Rh 3.40, 4 Ga 3.52

The value obtained for the energy relative to the elements is 14.93 kcal/mol of atoms. Its crystal system is tetragonal.

# 2
A relaxed BaTl2ZnSb2 crystal, computed with PBE.

Cell: 4.7546 9.7679 8.5482 Å, 90.00 90.00 90.00°
Closest atoms and distances in Å follow each position.
Positions (direct):
Ba (0.0000, 0.0870, 0.0000)  5 Sb 3.43-3.51, 2 Zn 3.55, 1 Tl 3.64
Ba (0.0000, 0.9130, 0.5000)  5 Sb 3.43-3.51, 2 Zn 3.55, 1 Tl 3.64
Tl (0.0000, 0.3318, 0.3215)  3 Sb 3.12-3.29
Tl (0.0000, 0.6682, 0.8215)  3 Sb 3.12-3.29
Tl (0.5000, 0.4735, 0.0556)  2 Sb 3.40, 4 Tl 3.57-3.64, 1 Zn 3.69
Tl (0.5000, 0.5265, 0.5556)  2 Sb 3.40, 4 Tl 3.57-3.64, 1 Zn 3.69
Zn (0.5000, 0.1553, 0.6366)  4 Sb 2.82-2.91
Zn (0.5000, 0.8447, 0.1366)  4 Sb 2.82-2.91
Sb (0.0000, 0.3046, 0.6846)  2 Zn 2.82, 1 Tl 3.12
Sb (0.0000, 0.6954, 0.1846)  2 Zn 2.82, 1 Tl 3.12
Sb (0.5000, 0.0996, 0.3020)  2 Zn 2.86-2.91
Sb (0.5000, 0.9004, 0.8020)  2 Zn 2.86-2.91

Its crystal system is orthorhombic. Its formation energy from raw total energies is -0.348 eV/atom.

# 3
A relaxed Ca2BeIr2 crystal, computed with PBE.

Cell: 6.3610 6.3610 4.6002 Å, 90.00 90.00 90.00°
Closest atoms and distances in Å follow each position.
Positions (direct):
Ca (0.1729, 0.3271, 0.0000)  6 Ir 2.83-3.07, 1 Ca 3.11
Ca (0.3271, 0.8271, 0.0000)  6 Ir 2.83-3.07, 1 Ca 3.11
Ca (0.6729, 0.1729, 0.0000)  6 Ir 2.83-3.07, 1 Ca 3.11
Ca (0.8271, 0.6729, 0.0000)  6 Ir 2.83-3.07, 1 Ca 3.11
Be (0.0000, 0.0000, 0.5000)  4 Ir 2.44
Be (0.5000, 0.5000, 0.5000)  4 Ir 2.44
Ir (0.1446, 0.6446, 0.5000)  2 Be 2.44, 1 Ir 2.60
Ir (0.3554, 0.1446, 0.5000)  2 Be 2.44, 1 Ir 2.60
Ir (0.6446, 0.8554, 0.5000)  2 Be 2.44, 1 Ir 2.60
Ir (0.8554, 0.3554, 0.5000)  2 Be 2.44, 1 Ir 2.60

The value obtained for the energy relative to the elements is -5.80 kcal/mol of atoms. The energy above the most stable polymorph in this dataset is 144 meV per atom. Its crystal system is tetragonal.

# 4
A relaxed ScMo2Pd2 crystal, computed with PBE.

Cell: 7.8098 7.8098 2.7876 Å, 90.00 90.00 90.00°
Closest atoms and distances in Å follow each position.
Positions (direct):
Sc (0.0000, 0.0000, 0.0000)  2 Sc 2.79, 4 Pd 3.10
Sc (0.5000, 0.5000, 0.0000)  2 Sc 2.79, 4 Pd 3.10
Mo (0.1763, 0.3237, 0.5000)  6 Pd 2.63-2.74, 2 Mo 2.79
Mo (0.3237, 0.8237, 0.5000)  6 Pd 2.63-2.74, 2 Mo 2.79
Mo (0.6763, 0.1763, 0.5000)  6 Pd 2.63-2.74, 2 Mo 2.79
Mo (0.8237, 0.6763, 0.5000)  6 Pd 2.63-2.74, 2 Mo 2.79
Pd (0.1215, 0.6215, 0.0000)  6 Mo 2.63-2.74, 3 Pd 2.68-2.79
Pd (0.3785, 0.1215, 0.0000)  6 Mo 2.63-2.74, 3 Pd 2.68-2.79
Pd (0.6215, 0.8785, 0.0000)  6 Mo 2.63-2.74, 3 Pd 2.68-2.79
Pd (0.8785, 0.3785, 0.0000)  6 Mo 2.63-2.74, 3 Pd 2.68-2.79

The value obtained for the energy relative to the elements is 2.26 kcal/mol of atoms. The energy above the most stable polymorph in this dataset is 159 meV per atom. Its crystal system is tetragonal.

# 5
A relaxed FeSb crystal, computed with PBE.

Cell: 3.6447 4.1499 5.0744 Å, 90.00 111.03 90.00°
Closest atoms and distances in Å follow each position.
Positions (direct):
Fe (0.0680, 0.2500, 0.1369)  2 Fe 2.45, 3 Sb 2.71-2.73
Fe (0.9320, 0.7500, 0.8631)  2 Fe 2.45, 3 Sb 2.71-2.73
Sb (0.3555, 0.2500, 0.7132)  7 Fe 2.71-2.86
Sb (0.6445, 0.7500, 0.2868)  7 Fe 2.71-2.86

Its crystal system is monoclinic. Its formation energy from raw total energies is 0.112 eV/atom.

# 6
A relaxed TaZnTe4 crystal, computed with PBE.

Cell: 6.2162 6.2162 6.2162 Å, 60.00 60.00 60.00°
Closest atoms and distances in Å follow each position.
Positions (direct):
Ta (0.0000, 0.0000, 0.0000)  12 Te 3.64, 4 Zn 3.81
Zn (0.2500, 0.2500, 0.2500)  12 Te 3.65, 4 Ta 3.81
Te (0.1231, 0.6256, 0.6256)  6 Te 3.09-3.12
Te (0.6256, 0.1231, 0.6256)  6 Te 3.09-3.12
Te (0.6256, 0.6256, 0.1231)  6 Te 3.09-3.12
Te (0.6256, 0.6256, 0.6256)  6 Te 3.09-3.12

Its crystal system is cubic. Its formation energy from raw total energies is 1.074 eV/atom.